(1)
Density functional theory data (GGA-PBE) for crystalline ZrTiFeRh at its relaxed geometry.

Cell: 6.3107 6.3107 6.3107 Å, 90.00 90.00 90.00°
Last column: nearest neighbours and their distance in Å.
Space group F-43m (No. 216)
One atom of each set of equivalent atoms:
1 Zr 0.0000 0.0000 0.0000 (multiplicity 4)  4 Fe 2.73, 4 Rh 2.73
2 Ti 0.0000 0.0000 0.5000 (multiplicity 4)  4 Rh 2.73, 4 Fe 2.73
3 Fe 0.2500 0.2500 0.7500 (multiplicity 4)  4 Zr 2.73, 4 Ti 2.73
4 Rh 0.2500 0.2500 0.2500 (multiplicity 4)  4 Zr 2.73, 4 Ti 2.73

Calculated values
Magnetic moment (Bohr magnetons per cell): 3.12
Formation enthalpy at 0 K (meV/atom): -457
DOS(E_F) (states/eV/atom): 0.885

(2)
Density functional theory data (GGA-PBE) for crystalline TlFeRh2 at its relaxed geometry.

Cell: 2.9167 2.9167 26.2914 Å, 90.00 90.00 120.00°
Last column: nearest neighbours and their distance in Å.
Space group R3m (No. 160, hexagonal axes)
One atom of each set of equivalent atoms:
1 Tl 0.0000 0.0000 0.0000 (multiplicity 3)  3 Rh 2.87, 3 Fe 2.89, 6 Tl 2.92
2 Fe 0.0000 0.0000 0.7562 (multiplicity 3)  3 Rh 2.56
3 Rh 0.0000 0.0000 0.2449 (multiplicity 3)  9 Rh 2.74-2.92, 3 Tl 2.87
4 Rh 0.0000 0.0000 0.4962 (multiplicity 3)  3 Fe 2.56, 3 Rh 2.74

Calculated values
Magnetic moment (Bohr magnetons per cell): 7.54
Formation enthalpy at 0 K (meV/atom): 428
DOS(E_F) (states/eV/atom): 1.679

(3)
Density functional theory data (GGA-PBE) for crystalline TlFeRh2 at its relaxed geometry.

Cell: 8.8115 2.9585 5.0230 Å, 90.00 102.20 90.00°
Last column: nearest neighbours and their distance in Å.
Space group C2/m (No. 12)
One atom of each set of equivalent atoms:
1 Tl 0.0000 0.0000 0.0000 (multiplicity 2)  6 Rh 2.78-2.84, 4 Fe 2.91, 2 Tl 2.96
2 Fe 0.0000 0.5000 0.5000 (multiplicity 2)  6 Rh 2.63-2.74, 4 Tl 2.91
3 Rh 0.2403 0.0000 0.7199 (multiplicity 4)  3 Fe 2.63-2.74, 2 Rh 2.69, 3 Tl 2.78-2.84

Calculated values
Magnetic moment (Bohr magnetons per cell): 7.26
Formation enthalpy at 0 K (meV/atom): 192
DOS(E_F) (states/eV/atom): 0.970

(4)
Density functional theory data (GGA-PBE) for crystalline TlFeRh2 at its relaxed geometry.

Cell: 3.0785 3.0785 6.7203 Å, 90.00 90.00 90.00°
Last column: nearest neighbours and their distance in Å.
Space group P4/mmm (No. 123)
One atom of each set of equivalent atoms:
1 Tl 0.0000 0.0000 0.0000 (multiplicity 1)  8 Rh 2.90, 4 Tl 3.08
2 Fe 0.0000 0.0000 0.5000 (multiplicity 1)  8 Rh 2.61
3 Rh 0.5000 0.5000 0.2857 (multiplicity 2)  4 Fe 2.61, 1 Rh 2.88, 4 Tl 2.90

Calculated values
Magnetic moment (Bohr magnetons per cell): 4.44
Formation enthalpy at 0 K (meV/atom): 51
DOS(E_F) (states/eV/atom): 0.680

(5)
Density functional theory data (GGA-PBE) for crystalline Tl2FeRh4 at its relaxed geometry.

Cell: 4.4954 4.4954 13.8466 Å, 90.00 90.00 90.00°
Last column: nearest neighbours and their distance in Å.
Space group I4/mmm (No. 139)
One atom of each set of equivalent atoms:
1 Tl 0.0000 0.0000 0.1377 (multiplicity 4)  5 Rh 2.72-2.95
2 Fe 0.0000 0.0000 0.5000 (multiplicity 2)  6 Rh 2.25-2.30
3 Rh 0.0000 0.0000 0.3341 (multiplicity 4)  1 Fe 2.30
4 Rh 0.0000 0.5000 0.0000 (multiplicity 4)  2 Fe 2.25

Calculated values
Magnetic moment (Bohr magnetons per cell): 7.74
Formation enthalpy at 0 K (meV/atom): 665
DOS(E_F) (states/eV/atom): 0.767

(6)
Density functional theory data (GGA-PBE) for crystalline TlFe2Rh2 at its relaxed geometry.

Cell: 7.3763 7.3763 2.8977 Å, 90.00 90.00 90.00°
Last column: nearest neighbours and their distance in Å.
Space group P4/mbm (No. 127)
One atom of each set of equivalent atoms:
1 Tl 0.0000 0.0000 0.0000 (multiplicity 2)  4 Fe 2.85, 2 Tl 2.90, 8 Rh 3.17
2 Fe 0.1406 0.3594 0.0000 (multiplicity 4)  6 Rh 2.57-2.64, 2 Tl 2.85
3 Rh 0.1477 0.6477 0.5000 (multiplicity 4)  6 Fe 2.57-2.64

Calculated values
Magnetic moment (Bohr magnetons per cell): 14.59
Formation enthalpy at 0 K (meV/atom): 215
Relative energy among the computed polymorphs (meV/atom): 42
DOS(E_F) (states/eV/atom): 0.866